No. 1
The following is a DFT calculation (PBE) of a relaxed CaNd4Er3Se8 crystal.

a = 8.2036 Å, b = 8.4105 Å, c = 8.2030 Å
α = 119.19°, β = 120.00°, γ = 90.00°
Fractional coordinates of all 16 atoms:
1 Ca 0.0000 0.5000 0.0000
2 Nd 0.5000 0.0000 0.0000
3 Nd 0.5000 0.0000 0.5000
4 Nd 0.0000 0.0000 0.0000
5 Nd 0.0000 0.0000 0.5000
6 Er 0.5000 0.5000 0.0000
7 Er 0.5000 0.5000 0.5000
8 Er 0.0000 0.5000 0.5000
9 Se 0.2460 0.7334 0.9875
10 Se 0.2459 0.7334 0.4918
11 Se 0.2562 0.2685 0.5123
12 Se 0.7415 0.7334 0.9875
13 Se 0.2585 0.2666 0.0125
14 Se 0.7438 0.7315 0.4877
15 Se 0.7541 0.2666 0.5082
16 Se 0.7540 0.2666 0.0125

Summary:
- space-group type = R-3m
- formation energy from raw total energies (eV per atom) = -1.8028

=====

No. 2
The following is a DFT calculation (PBE) of a relaxed ZrNpCu2O8 crystal.

a = 5.7833 Å, b = 5.7833 Å, c = 5.7833 Å
α = 110.54°, β = 110.54°, γ = 107.36°
Fractional coordinates of all 12 atoms:
1 Zr 0.2500 0.7500 0.5000
2 Np 0.0000 0.0000 0.0000
3 Cu 0.7500 0.2500 0.5000
4 Cu 0.5000 0.5000 0.0000
5 O 0.3451 0.0382 0.3069
6 O 0.2959 0.4790 0.1831
7 O 0.2959 0.1128 0.8169
8 O 0.7313 0.0382 0.6931
9 O 0.8872 0.7041 0.1831
10 O 0.9618 0.2687 0.3069
11 O 0.9618 0.6549 0.6931
12 O 0.5210 0.7041 0.8169

Summary:
- space-group type = I-4m2
- formation energy from raw total energies (eV per atom) = -1.7439

=====

No. 3
The following is a DFT calculation (PBE) of a relaxed ErZrNi2 crystal.

a = 3.4617 Å, b = 4.2444 Å, c = 5.2006 Å
α = 90.00°, β = 109.23°, γ = 90.00°
Fractional coordinates of all 4 atoms:
1 Er 0.7248 0.0000 0.9893
2 Zr 0.4466 0.5000 0.4322
3 Ni 0.1573 0.5000 0.8548
4 Ni 0.0023 0.0000 0.5418

Summary:
- ΔH_f (0 K) (eV per atom) = -0.441
- space-group type = Pm

=====

No. 4
The following is a DFT calculation (PBE) of a relaxed La2PrYHo crystal.

a = 6.9279 Å, b = 11.1373 Å, c = 7.3422 Å
α = 139.33°, β = 90.00°, γ = 90.00°
Fractional coordinates of all 10 atoms:
1 La 0.5000 0.2490 0.0000
2 La 0.0000 0.7510 0.0000
3 La 0.5000 0.7510 0.0000
4 La 0.0000 0.2490 0.0000
5 Pr 0.2500 0.6025 0.2050
6 Pr 0.7500 0.3975 0.7950
7 Y 0.7500 0.7527 0.5055
8 Y 0.2500 0.2473 0.4945
9 Ho 0.2500 0.9118 0.8236
10 Ho 0.7500 0.0882 0.1764

Summary:
- ΔH_f (0 K) (eV per atom) = 0.319
- space-group type = Cmcm

=====

No. 5
The following is a DFT calculation (PBE) of a relaxed K2HfRe crystal.

a = 5.4930 Å, b = 5.4930 Å, c = 5.4930 Å
α = 60.00°, β = 60.00°, γ = 60.00°
Fractional coordinates of all 4 atoms:
1 Re 0.5000 0.5000 0.5000
2 K 0.2500 0.2500 0.2500
3 K 0.7500 0.7500 0.7500
4 Hf 0.0000 0.0000 0.0000

Summary:
- ΔH_f (0 K) (eV per atom) = 2.250
- relative energy among the computed polymorphs (eV/atom) = 0.6828
- space-group type = Fm-3m

=====

No. 6
The following is a DFT calculation (PBE) of a relaxed Nd8TmBi6 crystal.

a = 8.3259 Å, b = 8.3259 Å, c = 10.0190 Å
α = 65.45°, β = 65.45°, γ = 60.00°
Fractional coordinates of all 15 atoms:
1 Nd 0.5354 0.2180 0.3655
2 Nd 0.7820 0.1189 0.6345
3 Nd 0.1189 0.4646 0.6345
4 Nd 0.6669 0.6669 0.9993
5 Nd 0.3331 0.3331 0.0007
6 Nd 0.8811 0.5354 0.3655
7 Nd 0.2180 0.8811 0.3655
8 Nd 0.4646 0.7820 0.6345
9 Tm 0.0000 0.0000 0.0000
10 Bi 0.3882 0.0672 0.8044
11 Bi 0.9328 0.2598 0.1956
12 Bi 0.2598 0.6118 0.1956
13 Bi 0.7402 0.3882 0.8044
14 Bi 0.0672 0.7402 0.8044
15 Bi 0.6118 0.9328 0.1956

Summary:
- ΔH_f (0 K) (eV per atom) = -0.576
- space-group type = R-3

=====

No. 7
The following is a DFT calculation (PBE) of a relaxed YCr2Ru2 crystal.

a = 4.1373 Å, b = 4.1373 Å, c = 5.7914 Å
α = 69.07°, β = 69.07°, γ = 90.00°
Fractional coordinates of all 5 atoms:
1 Y 0.0000 0.0000 0.0000
2 Ru 0.3683 0.3683 0.2633
3 Ru 0.6317 0.6317 0.7367
4 Cr 0.7500 0.2500 0.5000
5 Cr 0.2500 0.7500 0.5000

Summary:
- ΔH_f (0 K) (eV per atom) = -0.014
- relative energy among the computed polymorphs (eV/atom) = 0.0000
- space-group type = I4/mmm

=====

No. 8
The following is a DFT calculation (PBE) of a relaxed K3Np3ZnSe8 crystal.

a = 8.2954 Å, b = 8.2819 Å, c = 9.1300 Å
α = 116.91°, β = 90.00°, γ = 120.05°
Fractional coordinates of all 15 atoms:
1 K 0.0000 0.0000 0.0000
2 K 0.0000 0.5000 0.0000
3 K 0.5000 0.5000 0.0000
4 Np 0.5000 0.0000 0.5000
5 Np 0.5000 0.5000 0.5000
6 Np 0.0000 0.5000 0.5000
7 Zn 0.0000 0.0000 0.5000
8 Se 0.2647 0.5294 0.2944
9 Se 0.7353 0.4706 0.7056
10 Se 0.7734 0.5469 0.3073
11 Se 0.2266 0.4531 0.6927
12 Se 0.7709 0.0344 0.3056
13 Se 0.2291 0.9656 0.6944
14 Se 0.2635 0.0344 0.3056
15 Se 0.7365 0.9656 0.6944

Summary:
- space-group type = C2/m
- formation energy from raw total energies (eV per atom) = -1.0930

=====

No. 9
The following is a DFT calculation (PBE) of a relaxed ZnReCl2 crystal.

a = 10.0329 Å, b = 10.0329 Å, c = 10.0329 Å
α = 17.56°, β = 17.56°, γ = 17.56°
Fractional coordinates of all 4 atoms:
1 Re 0.2500 0.2500 0.2500
2 Zn 0.7500 0.7500 0.7500
3 Cl 0.9763 0.9763 0.9763
4 Cl 0.5237 0.5237 0.5237

Summary:
- relative energy among the computed polymorphs (eV/atom) = 0.4144
- space-group type = R-3m
- formation energy from raw total energies (eV per atom) = 0.3949

=====

No. 10
The following is a DFT calculation (PBE) of a relaxed Pr6SbTe5 crystal.

a = 7.8806 Å, b = 7.8484 Å, c = 7.8499 Å
α = 60.01°, β = 80.46°, γ = 70.64°
Fractional coordinates of all 12 atoms:
1 Pr 0.7549 0.0818 0.3264
2 Pr 0.2451 0.5917 0.3264
3 Pr 0.2459 0.2446 0.0000
4 Pr 0.7541 0.7554 0.0000
5 Pr 0.7549 0.4083 0.6736
6 Pr 0.2451 0.9182 0.6736
7 Sb 0.0000 0.0000 0.0000
8 Te 0.5000 0.1686 0.6628
9 Te 0.0000 0.3334 0.3331
10 Te 0.5000 0.5000 0.0000
11 Te 0.0000 0.6666 0.6669
12 Te 0.5000 0.8314 0.3372

Summary:
- space-group type = C2/m
- formation energy from raw total energies (eV per atom) = -1.4202

=====

No. 11
The following is a DFT calculation (PBE) of a relaxed Li3ZrCo crystal.

a = 4.3143 Å, b = 4.3143 Å, c = 4.3143 Å
α = 90.00°, β = 90.00°, γ = 90.00°
Fractional coordinates of all 5 atoms:
1 Co 0.0000 0.0000 0.0000
2 Zr 0.5000 0.5000 0.5000
3 Li 0.0000 0.5000 0.0000
4 Li 0.0000 0.0000 0.5000
5 Li 0.5000 0.0000 0.0000

Summary:
- ΔH_f (0 K) (eV per atom) = 0.705
- relative energy among the computed polymorphs (eV/atom) = 0.0000
- space-group type = Pm-3m

=====

No. 12
The following is a DFT calculation (PBE) of a relaxed KNa3Sr crystal.

a = 6.3622 Å, b = 6.3622 Å, c = 6.3622 Å
α = 90.00°, β = 90.00°, γ = 90.00°
Fractional coordinates of all 5 atoms:
1 Sr 0.5000 0.5000 0.5000
2 K 0.0000 0.0000 0.0000
3 Na 0.0000 0.5000 0.0000
4 Na 0.0000 0.0000 0.5000
5 Na 0.5000 0.0000 0.0000

Summary:
- ΔH_f (0 K) (eV per atom) = 0.320
- relative energy among the computed polymorphs (eV/atom) = 0.2828
- space-group type = Pm-3m

=====

no.,electronic total energy (eV per atom),total magnetization (μB/cell)
1,-5.72,0.00
2,-7.52,0.75
3,-6.61,0.00
4,-4.82,0.00
5,-3.90,0.96
6,-4.97,0.00
7,-8.87,0.00
8,-5.84,10.00
9,-3.96,0.64
10,-5.46,0.00
11,-3.57,0.00
12,-1.03,0.00